No. 1
La2AlIn, relaxed, DFT PBE; N(E_F) = 3.8 states/eV per cell; E = -15.1 eV/cell; ΔH_f (0 K) = 0.316 eV per atom; total magnetic moment = 0.00 μB per formula unit
1.0
3.261 -6.539 0.000
3.261 6.539 0.000
-1.563 0.000 2.874
La Al In
2 1 1
Direct
0.243 0.757 0.000
0.757 0.243 0.000
0.000 0.000 0.000
0.500 0.500 0.000


No. 2
Re2SiAg, relaxed, DFT PBE; N(E_F) = 3.0 states/eV per cell; E = -32.0 eV/cell; ΔE_f (raw) = 0.29 eV per atom; total magnetic moment = 0.00 μB per formula unit
1.0
-1.416 2.230 4.860
1.416 -2.230 4.860
1.416 2.230 -4.860
Re Si Ag
2 1 1
Direct
0.209 0.209 0.000
0.791 0.791 0.000
0.000 0.500 0.500
0.500 0.000 0.500


No. 3
Li2CdGaH, relaxed, DFT PBE; N(E_F) = 1.0 states/eV per cell; E = -11.8 eV/cell; total magnetic moment = 0.00 μB per formula unit
1.0
4.103 0.000 0.000
0.000 4.103 0.000
0.000 0.000 4.224
Li Cd Ga H
2 1 1 1
Direct
0.000 0.500 0.000
0.500 0.000 0.000
0.000 0.000 0.500
0.500 0.500 0.500
0.500 0.500 0.000


No. 4
Pr2HoRh3, relaxed, DFT PBE; N(E_F) = 1.1 states/eV per cell; E = -39.3 eV/cell; ΔH_f (0 K) = -0.522 eV per atom; total magnetic moment = 0.00 μB per formula unit
1.0
-2.118 2.868 5.879
2.118 -2.868 5.879
2.118 2.868 -5.879
Pr Ho Rh
2 1 3
Direct
0.170 0.170 0.000
0.830 0.830 0.000
0.500 0.500 0.000
0.000 0.500 0.500
0.351 0.851 0.500
0.649 0.149 0.500


No. 5
Zr3InHg, relaxed, DFT PBE; N(E_F) = 9.4 states/eV per cell; E = -58.0 eV/cell; ΔH_f (0 K) = -0.060 eV per atom; total magnetic moment = 0.00 μB per formula unit
1.0
5.539 0.000 0.000
-0.353 5.657 0.000
-2.426 -0.761 7.328
Zr In Hg
6 2 2
Direct
0.000 0.000 0.000
0.000 0.500 0.000
0.109 0.274 0.427
0.460 0.705 0.751
0.540 0.295 0.249
0.891 0.726 0.573
0.292 0.787 0.362
0.708 0.213 0.638
0.362 0.209 0.844
0.638 0.791 0.156


No. 6
Pm5ErSc3, relaxed, DFT PBE; N(E_F) = 29.7 states/eV per cell; E = -85.9 eV/cell; ΔH_f (0 K) = 0.484 eV per atom; total magnetic moment = 0.00 μB per formula unit
1.0
5.656 -5.697 0.000
5.656 5.697 0.000
-3.039 0.000 9.769
Pm Er Sc
10 2 6
Direct
0.216 0.731 0.656
0.246 0.754 0.000
0.251 0.251 0.085
0.259 0.259 0.421
0.269 0.784 0.344
0.731 0.216 0.656
0.741 0.741 0.579
0.749 0.749 0.915
0.754 0.246 0.000
0.784 0.269 0.344
0.248 0.248 0.748
0.752 0.752 0.252
0.000 0.000 0.500
0.001 0.001 0.166
0.499 0.499 0.328
0.500 0.500 0.000
0.501 0.501 0.672
0.999 0.999 0.834


No. 7
Tc3Pb6O14, relaxed, DFT PBE; N(E_F) = 12.7 states/eV per cell; E = -151.2 eV/cell; ΔE_f (raw) = -1.24 eV per atom; total magnetic moment = 5.01 μB per formula unit
1.0
9.536 0.000 0.000
-4.768 8.259 0.000
0.000 0.000 5.581
Tc Pb O
3 6 14
Direct
0.000 0.000 0.000
0.333 0.667 0.489
0.667 0.333 0.055
0.073 0.703 0.939
0.291 0.078 0.433
0.297 0.370 0.939
0.630 0.927 0.939
0.787 0.709 0.433
0.922 0.213 0.433
0.068 0.872 0.232
0.128 0.196 0.232
0.164 0.486 0.610
0.205 0.103 0.805
0.322 0.836 0.610
0.333 0.667 0.169
0.514 0.678 0.610
0.519 0.381 0.172
0.619 0.137 0.172
0.667 0.333 0.740
0.804 0.932 0.232
0.863 0.481 0.172
0.897 0.101 0.805
0.899 0.795 0.805


No. 8
GdHfGaCu, relaxed, DFT PBE; N(E_F) = 2.1 states/eV per cell; E = -32.1 eV/cell; ΔH_f (0 K) = -0.245 eV per atom; total magnetic moment = 7.88 μB per formula unit
1.0
0.000 3.423 3.423
3.423 0.000 3.423
3.423 3.423 0.000
Gd Hf Ga Cu
1 1 1 1
Direct
0.000 0.000 0.000
0.500 0.500 0.500
0.250 0.250 0.250
0.750 0.750 0.750


No. 9
SiSb2Mo2, relaxed, DFT PBE; N(E_F) = 5.6 states/eV per cell; E = -31.7 eV/cell; ΔE_f (raw) = 0.72 eV per atom; total magnetic moment = 0.00 μB per formula unit
1.0
-2.678 2.678 4.955
2.678 -2.678 4.955
2.678 2.678 -4.955
Si Sb Mo
1 2 2
Direct
0.000 0.000 0.000
0.250 0.750 0.500
0.750 0.250 0.500
0.230 0.230 0.000
0.770 0.770 0.000


No. 10
NdTaSi, relaxed, DFT PBE; N(E_F) = 5.6 states/eV per cell; E = -47.1 eV/cell; ΔE_f (raw) = -0.50 eV per atom; total magnetic moment = 0.29 μB per formula unit
1.0
-2.015 2.015 8.180
2.015 -2.015 8.180
2.015 2.015 -8.180
Nd Ta Si
2 2 2
Direct
0.175 0.175 0.000
0.825 0.825 0.000
0.000 0.500 0.500
0.500 0.000 0.500
0.386 0.386 0.000
0.614 0.614 0.000


No. 11
Ac6LaNd3, relaxed, DFT PBE; N(E_F) = 28.4 states/eV per cell; E = -85.0 eV/cell; ΔH_f (0 K) = 0.140 eV per atom; total magnetic moment = 0.00 μB per formula unit
1.0
5.438 -10.901 0.000
5.438 10.901 0.000
0.000 0.000 7.034
Ac La Nd
12 2 6
Direct
0.005 0.405 0.055
0.043 0.957 0.500
0.294 0.348 0.208
0.330 0.670 0.373
0.348 0.294 0.708
0.405 0.005 0.555
0.595 0.995 0.055
0.652 0.706 0.208
0.670 0.330 0.873
0.706 0.652 0.708
0.957 0.043 0.000
0.995 0.595 0.555
0.234 0.766 0.934
0.766 0.234 0.434
0.060 0.303 0.585
0.303 0.060 0.085
0.387 0.613 0.852
0.613 0.387 0.352
0.697 0.940 0.585
0.940 0.697 0.085


No. 12
KGaSi, relaxed, DFT PBE; N(E_F) = 2.3 states/eV per cell; E = -37.0 eV/cell; ΔE_f (raw) = 0.10 eV per atom; total magnetic moment = 0.00 μB per formula unit
1.0
10.254 0.000 0.000
0.000 4.047 0.000
0.000 0.000 9.019
K Ga Si
4 4 4
Direct
0.197 0.250 0.064
0.303 0.750 0.564
0.697 0.250 0.436
0.803 0.750 0.936
0.013 0.250 0.731
0.487 0.750 0.231
0.513 0.250 0.769
0.987 0.750 0.269
0.042 0.250 0.432
0.458 0.750 0.932
0.542 0.250 0.068
0.958 0.750 0.568


No. 13
SmTh4C4, relaxed, DFT PBE; N(E_F) = 5.9 states/eV per cell; E = -73.5 eV/cell; ΔH_f (0 K) = -0.248 eV per atom; total magnetic moment = 0.00 μB per formula unit
1.0
-4.197 4.197 2.669
4.197 -4.197 2.669
4.197 4.197 -2.669
Sm Th C
1 4 4
Direct
0.000 0.000 0.000
0.192 0.395 0.588
0.395 0.808 0.203
0.605 0.192 0.797
0.808 0.605 0.412
0.092 0.692 0.784
0.308 0.092 0.400
0.692 0.908 0.600
0.908 0.308 0.216


No. 14
SbI4, relaxed, DFT PBE; N(E_F) = 11.5 states/eV per cell; E = -21.9 eV/cell; ΔE_f (raw) = -0.12 eV per atom; total magnetic moment = 0.00 μB per formula unit
1.0
9.460 0.000 0.000
0.000 9.460 0.000
0.000 0.000 6.683
Sb I
2 8
Direct
0.000 0.000 0.000
0.500 0.500 0.500
0.160 0.178 0.250
0.178 0.840 0.750
0.322 0.340 0.750
0.340 0.678 0.250
0.660 0.322 0.250
0.678 0.660 0.750
0.822 0.160 0.750
0.840 0.822 0.250


No. 15
Sr2LaBr, relaxed, DFT PBE; N(E_F) = 7.2 states/eV per cell; E = -9.9 eV/cell; ΔE_f (raw) = 0.01 eV per atom; total magnetic moment = 2.52 μB per formula unit
1.0
0.000 4.437 4.437
4.437 0.000 4.437
4.437 4.437 0.000
Sr La Br
2 1 1
Direct
0.250 0.250 0.250
0.750 0.750 0.750
0.000 0.000 0.000
0.500 0.500 0.500